# 1
Compound: Er2ScSb
Source: the Alexandria database
Functional: PBE-GGA
Structure: relaxed

Output
Total magnetic moment (μB per cell): 0.00
Space-group type: P4/mmm
Excess energy over the best structure of this formula in the dataset (meV per atom): 49
Formation energy (no corrections) (eV per atom): -0.447
Total energy (eV per cell): -21.37

Cell: 4.647 4.647 4.681 Å, 90.00 90.00 90.00°
Atoms (fractional coordinates):
Er 0.000 0.500 0.000
Er 0.500 0.000 0.000
Sc 0.000 0.000 0.500
Sb 0.500 0.500 0.500

***

# 2
Compound: ErSc2Sb
Source: the Alexandria database
Functional: PBE-GGA
Structure: relaxed

Output
Total magnetic moment (μB per cell): 0.47
Space-group type: R3m
Excess energy over the best structure of this formula in the dataset (meV per atom): 363
Formation energy (no corrections) (eV per atom): -0.247
Total energy (eV per cell): -22.34

Cell: 9.126 9.126 9.126 Å, 24.23 24.23 24.23°
Atoms (fractional coordinates):
Er 0.000 0.000 0.000
Sc 0.567 0.567 0.567
Sc 0.764 0.764 0.764
Sb 0.165 0.165 0.165